First-principles (GGA-PBE) data for a relaxed BaSr2Ac crystal, as listed in the Alexandria database.

abc: 7.2460 4.1840 14.0629
angles: 90.00 99.88 90.00
With the nearest neighbours (Å) after each atom.
Positions (direct):
Ba1 0.0000 0.0000 0.0000  6 Ba 4.18, 6 Sr 4.35-4.37
Ba2 0.5000 0.5000 0.0000  6 Ba 4.18, 6 Sr 4.35-4.37
Sr1 0.0786 0.5000 0.7375  3 Ac 4.09, 6 Sr 4.18, 3 Ba 4.36-4.37
Sr2 0.4212 0.0000 0.2612  3 Ac 4.08-4.09, 6 Sr 4.18, 3 Ba 4.35
Sr3 0.5786 0.0000 0.7375  3 Ac 4.09, 6 Sr 4.18, 3 Ba 4.36-4.37
Sr4 0.9212 0.5000 0.2612  3 Ac 4.08-4.09, 6 Sr 4.18, 3 Ba 4.35
Ac1 0.1665 0.0000 0.4991  6 Sr 4.08-4.09, 6 Ac 4.18
Ac2 0.6665 0.5000 0.4991  6 Sr 4.08-4.09, 6 Ac 4.18

E_form	47	meV per atom
excess energy over the best structure of this formula in the dataset	0	meV per atom


First-principles (GGA-PBE) data for a relaxed MnIn5 crystal, as listed in the Alexandria database.

abc: 12.1393 3.1321 9.1391
angles: 90.00 122.37 90.00
With the nearest neighbours (Å) after each atom.
Positions (direct):
Mn1 0.0000 0.0000 0.0000  8 In 2.87-2.96, 2 Mn 3.13
Mn2 0.5000 0.5000 0.0000  8 In 2.87-2.96, 2 Mn 3.13
In1 0.0000 0.0000 0.5000  8 In 3.13-3.22
In2 0.1225 0.5000 0.8627  2 Mn 2.87, 4 In 3.13-3.16
In3 0.1957 0.5000 0.3050  2 Mn 2.96, 4 In 3.13-3.31
In4 0.3043 0.0000 0.6950  2 Mn 2.96, 4 In 3.13-3.31
In5 0.3775 0.0000 0.1373  2 Mn 2.87, 4 In 3.13-3.16
In6 0.5000 0.5000 0.5000  8 In 3.13-3.22
In7 0.6225 0.0000 0.8627  2 Mn 2.87, 4 In 3.13-3.16
In8 0.6957 0.0000 0.3050  2 Mn 2.96, 4 In 3.13-3.31
In9 0.8043 0.5000 0.6950  2 Mn 2.96, 4 In 3.13-3.31
In10 0.8775 0.5000 0.1373  2 Mn 2.87, 4 In 3.13-3.16

E_form	146	meV per atom


First-principles (GGA-PBE) data for a relaxed InRe7 crystal, as listed in the Alexandria database.

abc: 5.6026 5.6026 5.6026
angles: 60.00 60.00 60.00
With the nearest neighbours (Å) after each atom.
Positions (direct):
In1 0.0000 0.0000 0.0000  12 Re 2.80
Re1 0.0000 0.0000 0.5000  10 Re 2.80, 2 In 2.80
Re2 0.0000 0.5000 0.0000  10 Re 2.80, 2 In 2.80
Re3 0.0000 0.5000 0.5000  10 Re 2.80, 2 In 2.80
Re4 0.5000 0.0000 0.0000  10 Re 2.80, 2 In 2.80
Re5 0.5000 0.0000 0.5000  10 Re 2.80, 2 In 2.80
Re6 0.5000 0.5000 0.0000  10 Re 2.80, 2 In 2.80
Re7 0.5000 0.5000 0.5000  12 Re 2.80

E_form	428	meV per atom


First-principles (GGA-PBE) data for a relaxed La2MgGePd6 crystal, as listed in the Alexandria database.

abc: 6.5529 6.5529 8.5631
angles: 128.24 128.24 50.62
With the nearest neighbours (Å) after each atom.
Positions (direct):
La1 0.0222 0.0222 0.2718  7 Pd 3.01-3.24
La2 0.9778 0.9778 0.7282  7 Pd 3.01-3.24
Mg1 0.5000 0.5000 0.5000  6 Pd 2.62-2.64
Ge1 0.5000 0.5000 0.0000  6 Pd 2.52
Pd1 0.0093 0.5096 0.7403  1 Ge 2.52, 1 Mg 2.64, 4 Pd 2.77-2.82
Pd2 0.3359 0.3359 0.0873  1 Ge 2.52, 1 Mg 2.62, 4 Pd 2.77-2.82
Pd3 0.4904 0.9907 0.2597  1 Ge 2.52, 1 Mg 2.64, 4 Pd 2.77-2.82
Pd4 0.5096 0.0093 0.7403  1 Ge 2.52, 1 Mg 2.64, 4 Pd 2.77-2.82
Pd5 0.6641 0.6641 0.9127  1 Ge 2.52, 1 Mg 2.62, 4 Pd 2.77-2.82
Pd6 0.9907 0.4904 0.2597  1 Ge 2.52, 1 Mg 2.64, 4 Pd 2.77-2.82

E_form	-662	meV per atom


First-principles (GGA-PBE) data for a relaxed CrSiAs crystal, as listed in the Alexandria database.

abc: 3.1091 3.1091 16.6139
angles: 90.00 90.00 120.00
With the nearest neighbours (Å) after each atom.
Positions (direct):
Cr1 0.0000 0.0000 0.0000  3 Si 2.39, 3 As 2.39
Cr2 0.3333 0.6667 0.6667  3 Si 2.39, 3 As 2.39
Cr3 0.6667 0.3333 0.3333  3 Si 2.39, 3 As 2.39
Si1 0.0000 0.0000 0.5718  1 As 2.38, 3 Cr 2.39
Si2 0.3333 0.6667 0.2385  1 As 2.38, 3 Cr 2.39
Si3 0.6667 0.3333 0.9051  1 As 2.38, 3 Cr 2.39
As1 0.0000 0.0000 0.4283  1 Si 2.38, 3 Cr 2.39
As2 0.3333 0.6667 0.0950  1 Si 2.38, 3 Cr 2.39
As3 0.6667 0.3333 0.7617  1 Si 2.38, 3 Cr 2.39

uncorrected formation energy	0.018	eV/atom


First-principles (GGA-PBE) data for a relaxed Zn2RuW crystal, as listed in the Alexandria database.

abc: 6.1082 6.1082 6.1082
angles: 90.00 90.00 90.00
With the nearest neighbours (Å) after each atom.
Positions (direct):
Zn1 0.2500 0.2500 0.2500  4 W 2.64, 4 Ru 2.64
Zn2 0.2500 0.2500 0.7500  4 W 2.64, 4 Ru 2.64
Zn3 0.2500 0.7500 0.2500  4 W 2.64, 4 Ru 2.64
Zn4 0.2500 0.7500 0.7500  4 W 2.64, 4 Ru 2.64
Zn5 0.7500 0.2500 0.2500  4 W 2.64, 4 Ru 2.64
Zn6 0.7500 0.2500 0.7500  4 W 2.64, 4 Ru 2.64
Zn7 0.7500 0.7500 0.2500  4 W 2.64, 4 Ru 2.64
Zn8 0.7500 0.7500 0.7500  4 W 2.64, 4 Ru 2.64
Ru1 0.0000 0.0000 0.0000  8 Zn 2.64
Ru2 0.0000 0.5000 0.5000  8 Zn 2.64
Ru3 0.5000 0.0000 0.5000  8 Zn 2.64
Ru4 0.5000 0.5000 0.0000  8 Zn 2.64
W1 0.0000 0.0000 0.5000  8 Zn 2.64
W2 0.0000 0.5000 0.0000  8 Zn 2.64
W3 0.5000 0.0000 0.0000  8 Zn 2.64
W4 0.5000 0.5000 0.5000  8 Zn 2.64

E_form	394	meV per atom
excess energy over the best structure of this formula in the dataset	374	meV per atom


First-principles (GGA-PBE) data for a relaxed LaMnAl11 crystal, as listed in the Alexandria database.

abc: 6.8669 6.8669 7.2067
angles: 97.56 97.56 135.30
With the nearest neighbours (Å) after each atom.
Positions (direct):
La1 0.0000 0.0000 0.0000  18 Al 3.29-3.60, 2 Mn 3.65
Mn1 0.5000 0.5000 0.5000  10 Al 2.59-2.68
Al1 0.0000 0.0000 0.5000  2 Mn 2.61, 8 Al 2.66-2.74
Al2 0.0000 0.5000 0.0000  8 Al 2.61-2.90
Al3 0.0252 0.3693 0.3635  1 Mn 2.68, 7 Al 2.71-2.99
Al4 0.2818 0.4997 0.7670  1 Mn 2.59, 6 Al 2.66-2.84
Al5 0.3693 0.0252 0.3635  1 Mn 2.68, 7 Al 2.71-2.99
Al6 0.5000 0.0000 0.0000  8 Al 2.61-2.90
Al7 0.4997 0.2818 0.7670  1 Mn 2.59, 6 Al 2.66-2.84
Al8 0.5003 0.7182 0.2330  1 Mn 2.59, 6 Al 2.66-2.84
Al9 0.6307 0.9748 0.6365  1 Mn 2.68, 7 Al 2.71-2.99
Al10 0.7182 0.5003 0.2330  1 Mn 2.59, 6 Al 2.66-2.84
Al11 0.9748 0.6307 0.6365  1 Mn 2.68, 7 Al 2.71-2.99

E_form	-203	meV per atom


First-principles (GGA-PBE) data for a relaxed YPuThPa crystal, as listed in the Alexandria database.

abc: 7.6926 7.6926 7.6926
angles: 90.00 90.00 90.00
With the nearest neighbours (Å) after each atom.
Positions (direct):
Y1 0.0000 0.0000 0.0000  4 Pu 3.33, 4 Th 3.33
Y2 0.0000 0.5000 0.5000  4 Pu 3.33, 4 Th 3.33
Y3 0.5000 0.0000 0.5000  4 Pu 3.33, 4 Th 3.33
Y4 0.5000 0.5000 0.0000  4 Pu 3.33, 4 Th 3.33
Pu1 0.2500 0.2500 0.2500  4 Pa 3.33, 4 Y 3.33
Pu2 0.2500 0.7500 0.7500  4 Pa 3.33, 4 Y 3.33
Pu3 0.7500 0.2500 0.7500  4 Pa 3.33, 4 Y 3.33
Pu4 0.7500 0.7500 0.2500  4 Pa 3.33, 4 Y 3.33
Th1 0.2500 0.2500 0.7500  4 Pa 3.33, 4 Y 3.33
Th2 0.2500 0.7500 0.2500  4 Pa 3.33, 4 Y 3.33
Th3 0.7500 0.2500 0.2500  4 Pa 3.33, 4 Y 3.33
Th4 0.7500 0.7500 0.7500  4 Pa 3.33, 4 Y 3.33
Pa1 0.0000 0.0000 0.5000  4 Th 3.33, 4 Pu 3.33
Pa2 0.0000 0.5000 0.0000  4 Th 3.33, 4 Pu 3.33
Pa3 0.5000 0.0000 0.0000  4 Th 3.33, 4 Pu 3.33
Pa4 0.5000 0.5000 0.5000  4 Th 3.33, 4 Pu 3.33

E_form	311	meV per atom


First-principles (GGA-PBE) data for a relaxed TlRh2Se crystal, as listed in the Alexandria database.

abc: 4.6599 4.6599 3.1752
angles: 90.00 90.00 90.00
With the nearest neighbours (Å) after each atom.
Positions (direct):
Tl1 0.0000 0.0000 0.0000  8 Rh 2.82
Rh1 0.0000 0.5000 0.5000  4 Tl 2.82, 4 Se 2.82
Rh2 0.5000 0.0000 0.5000  4 Tl 2.82, 4 Se 2.82
Se1 0.5000 0.5000 0.0000  8 Rh 2.82

uncorrected formation energy	0.145	eV/atom


First-principles (GGA-PBE) data for a relaxed AlV2Ni crystal, as listed in the Alexandria database.

abc: 6.7971 6.7971 4.8852
angles: 90.00 90.00 90.00
With the nearest neighbours (Å) after each atom.
Positions (direct):
Al1 0.0000 0.0000 0.0000  2 Ni 2.44, 4 V 2.62
Al2 0.0000 0.5000 0.2500  2 Ni 2.44, 4 V 2.62
Al3 0.5000 0.0000 0.7500  2 Ni 2.44, 4 V 2.62
Al4 0.5000 0.5000 0.5000  2 Ni 2.44, 4 V 2.62
V1 0.2199 0.2500 0.6250  2 Ni 2.34, 2 V 2.48, 2 Al 2.62
V2 0.2500 0.7199 0.8750  2 Ni 2.34, 2 V 2.48, 2 Al 2.62
V3 0.2500 0.7801 0.3750  2 Ni 2.34, 2 V 2.48, 2 Al 2.62
V4 0.2801 0.2500 0.1250  2 Ni 2.34, 2 V 2.48, 2 Al 2.62
V5 0.7199 0.7500 0.1250  2 Ni 2.34, 2 V 2.48, 2 Al 2.62
V6 0.7500 0.2199 0.3750  2 Ni 2.34, 2 V 2.48, 2 Al 2.62
V7 0.7500 0.2801 0.8750  2 Ni 2.34, 2 V 2.48, 2 Al 2.62
V8 0.7801 0.7500 0.6250  2 Ni 2.34, 2 V 2.48, 2 Al 2.62
Ni1 0.0000 0.0000 0.5000  4 V 2.34, 2 Al 2.44
Ni2 0.0000 0.5000 0.7500  4 V 2.34, 2 Al 2.44
Ni3 0.5000 0.0000 0.2500  4 V 2.34, 2 Al 2.44
Ni4 0.5000 0.5000 0.0000  4 V 2.34, 2 Al 2.44

E_form	221	meV per atom


First-principles (GGA-PBE) data for a relaxed CaSnBi3 crystal, as listed in the Alexandria database.

abc: 5.8148 5.8148 5.8148
angles: 90.00 90.00 90.00
With the nearest neighbours (Å) after each atom.
Positions (direct):
Ca1 0.0000 0.0000 0.0000  6 Bi 2.91
Sn1 0.5000 0.5000 0.5000  12 Bi 4.11
Bi1 0.0000 0.0000 0.5000  2 Ca 2.91
Bi2 0.0000 0.5000 0.0000  2 Ca 2.91
Bi3 0.5000 0.0000 0.0000  2 Ca 2.91

E_form	525	meV per atom
excess energy over the best structure of this formula in the dataset	731	meV per atom


First-principles (GGA-PBE) data for a relaxed GaSi23 crystal, as listed in the Alexandria database.

abc: 10.2248 10.2248 10.2248
angles: 90.00 90.00 90.00
With the nearest neighbours (Å) after each atom.
Positions (direct):
Ga1 0.0000 0.0000 0.0000  20 Si 3.25-3.37
Ga2 0.5000 0.5000 0.5000  20 Si 3.25-3.37
Si1 0.0000 0.1170 0.3080  4 Si 2.37-2.39
Si2 0.0000 0.1170 0.6920  4 Si 2.37-2.39
Si3 0.0000 0.2500 0.5000  4 Si 2.39
Si4 0.0000 0.7500 0.5000  4 Si 2.39
Si5 0.0000 0.8830 0.3080  4 Si 2.37-2.39
Si6 0.0000 0.8830 0.6920  4 Si 2.37-2.39
Si7 0.1170 0.3080 0.0000  4 Si 2.37-2.39
Si8 0.1170 0.6920 0.0000  4 Si 2.37-2.39
Si9 0.1833 0.1833 0.1833  4 Si 2.36-2.37
Si10 0.1833 0.1833 0.8167  4 Si 2.36-2.37
Si11 0.1833 0.8167 0.1833  4 Si 2.36-2.37
Si12 0.1833 0.8167 0.8167  4 Si 2.36-2.37
Si13 0.1920 0.3830 0.5000  4 Si 2.37-2.39
Si14 0.1920 0.6170 0.5000  4 Si 2.37-2.39
Si15 0.2500 0.5000 0.0000  4 Si 2.39
Si16 0.3080 0.0000 0.1170  4 Si 2.37-2.39
Si17 0.3080 0.0000 0.8830  4 Si 2.37-2.39
Si18 0.3167 0.3167 0.3167  4 Si 2.36-2.37
Si19 0.3167 0.3167 0.6833  4 Si 2.36-2.37
Si20 0.3167 0.6833 0.3167  4 Si 2.36-2.37
Si21 0.3167 0.6833 0.6833  4 Si 2.36-2.37
Si22 0.3830 0.5000 0.1920  4 Si 2.37-2.39
Si23 0.3830 0.5000 0.8080  4 Si 2.37-2.39
Si24 0.5000 0.0000 0.2500  4 Si 2.39
Si25 0.5000 0.0000 0.7500  4 Si 2.39
Si26 0.5000 0.1920 0.3830  4 Si 2.37-2.39
Si27 0.5000 0.1920 0.6170  4 Si 2.37-2.39
Si28 0.5000 0.8080 0.3830  4 Si 2.37-2.39
Si29 0.5000 0.8080 0.6170  4 Si 2.37-2.39
Si30 0.6170 0.5000 0.1920  4 Si 2.37-2.39
Si31 0.6170 0.5000 0.8080  4 Si 2.37-2.39
Si32 0.6833 0.3167 0.3167  4 Si 2.36-2.37
Si33 0.6833 0.3167 0.6833  4 Si 2.36-2.37
Si34 0.6833 0.6833 0.3167  4 Si 2.36-2.37
Si35 0.6833 0.6833 0.6833  4 Si 2.36-2.37
Si36 0.6920 0.0000 0.1170  4 Si 2.37-2.39
Si37 0.6920 0.0000 0.8830  4 Si 2.37-2.39
Si38 0.7500 0.5000 0.0000  4 Si 2.39
Si39 0.8080 0.3830 0.5000  4 Si 2.37-2.39
Si40 0.8080 0.6170 0.5000  4 Si 2.37-2.39
Si41 0.8167 0.1833 0.1833  4 Si 2.36-2.37
Si42 0.8167 0.1833 0.8167  4 Si 2.36-2.37
Si43 0.8167 0.8167 0.1833  4 Si 2.36-2.37
Si44 0.8167 0.8167 0.8167  4 Si 2.36-2.37
Si45 0.8830 0.3080 0.0000  4 Si 2.37-2.39
Si46 0.8830 0.6920 0.0000  4 Si 2.37-2.39

uncorrected formation energy	0.086	eV/atom